VASP calculation (PBE with a Hubbard U) on an optimized crystal structure of Rb2FeH2F6.

total moment	4.000	μB/f.u.
electronic total energy	-4.54	eV/atom

CIF file:
```
data_Rb2FeH2F6
_chemical_formula_sum 'Rb4 Fe2 H4 F12'
_cell_length_a 9.536
_cell_length_b 5.965
_cell_length_c 6.708
_cell_angle_alpha 90.00
_cell_angle_beta 124.52
_cell_angle_gamma 90.00
_symmetry_space_group_name_H-M 'C 1 2/m 1'
_symmetry_Int_Tables_number 12
_symmetry_space_group_name_Hall '-C 2y'
loop_
_atom_site_label
_atom_site_type_symbol
_atom_site_fract_x
_atom_site_fract_y
_atom_site_fract_z
Rb1 Rb 0.235 0.000 0.197
Fe1 Fe 0.000 0.000 0.500
H1 H 0.116 0.500 0.253
F1 F 0.019 0.245 0.305
F2 F 0.202 0.500 0.218
```